First-principles (GGA+U) data for an optimized crystal structure of SmTaCo2O6, as listed in Alexandria via LeMat-Bulk.

Values from the calculation:
- VASP energy: -7.9165 eV/atom
- Space group: No. 1

Cell: 5.3918 5.3936 5.7696 Å, 62.10 62.52 60.34°
Last column: nearest neighbours and their distance in Å.
Fractional coordinates of all 10 atoms:
O 0.7080 0.1461 0.7672  2 Co 2.05-2.23, 1 Ta 2.08, 1 Sm 2.25
O 0.2373 0.9375 0.2350  1 Ta 1.98, 1 Co 2.11
O 0.9380 0.5843 0.2361  1 Ta 1.97, 1 Co 2.12
O 0.1505 0.3782 0.7610  2 Co 2.03-2.20, 1 Ta 2.07, 1 Sm 2.25
O 0.3795 0.7095 0.7594  2 Co 2.05-2.19, 1 Ta 2.07, 1 Sm 2.26
O 0.5845 0.2436 0.2368  1 Ta 1.96, 1 Co 2.10
Sm 0.8059 0.8044 0.5874  6 O 2.25-2.47
Ta 0.3150 0.3182 0.0523  6 O 1.96-2.08
Co 0.5204 0.5237 0.4334  6 O 2.10-2.23
Co 0.0224 0.0162 0.9465  5 O 2.03-2.27